Here is crystalline BaAgAs2 at its relaxed geometry from Alexandria. Energies are from GGA-PBE.

Properties
- calculated total energy (eV/atom) = -3.894
- total magnetization (μB/f.u.) = 0.0
- V (Å³/atom) = 29.3
- space group = No. 8
- energy relative to the elements (eV per atom) = -0.376

```
BaAgAs2
1.0
5.692 0.157 -0.199
3.915 4.135 -0.199
1.365 0.610 5.062
Ba As Ag
1 2 1
Direct
0.517 0.517 0.499
0.957 0.957 0.018
0.726 0.726 0.899
0.300 0.300 0.084
```

=====

Here is crystalline BaAgAs2 at its relaxed geometry from Alexandria. Energies are from GGA-PBE.

Properties
- calculated total energy (eV/atom) = -3.947
- total magnetization (μB/f.u.) = 0.0
- V (Å³/atom) = 29.9
- space group = No. 122
- energy relative to the elements (eV per atom) = -0.428

```
BaAgAs2
1.0
5.161 0.000 0.000
0.000 5.161 0.000
2.580 2.580 8.974
As Ba Ag
4 2 2
Direct
0.471 0.125 0.250
0.375 0.529 0.750
0.279 0.625 0.250
0.875 0.721 0.750
0.750 0.250 0.500
0.000 0.000 0.000
0.500 0.500 0.000
0.250 0.750 0.500
```

=====

Here is crystalline BaAgAs at its relaxed geometry from Alexandria. Energies are from GGA-PBE.

Properties
- calculated total energy (eV/atom) = -3.811
- total magnetization (μB/f.u.) = 0.0
- V (Å³/atom) = 29.0
- space group = No. 71
- energy relative to the elements (eV per atom) = -0.670

```
BaAgAs
1.0
4.660 -0.002 -0.001
2.331 6.133 -0.003
2.331 0.717 6.091
As Ba Ag
2 2 2
Direct
0.888 0.284 0.927
0.888 0.604 0.607
0.637 0.194 0.517
0.138 0.693 0.016
0.388 0.774 0.437
0.388 0.114 0.097
```

=====

Here is crystalline BaAgAs2 at its relaxed geometry from Alexandria. Energies are from GGA-PBE.

Properties
- calculated total energy (eV/atom) = -3.758
- total magnetization (μB/f.u.) = 0.0
- V (Å³/atom) = 27.3
- space group = No. 65
- energy relative to the elements (eV per atom) = -0.239

```
BaAgAs2
1.0
-3.471 2.097 0.419
-0.466 -2.676 -3.040
-2.306 -4.718 4.507
Ba As Ag
1 2 1
Direct
0.500 0.500 0.250
0.000 0.000 0.933
0.000 0.000 0.567
0.500 0.500 0.750
```

=====

Here is crystalline BaAg2As2 at its relaxed geometry from Alexandria. Energies are from GGA-PBE.

Properties
- calculated total energy (eV/atom) = -3.564
- total magnetization (μB/f.u.) = 0.0
- V (Å³/atom) = 23.0
- space group = No. 127
- energy relative to the elements (eV per atom) = -0.179

```
BaAg2As2
1.0
8.418 0.000 0.000
0.000 8.418 0.000
0.000 0.000 3.249
As Ba Ag
4 2 4
Direct
0.820 0.320 0.500
0.320 0.180 0.500
0.680 0.820 0.500
0.180 0.680 0.500
0.000 0.000 0.000
0.500 0.500 0.000
0.382 0.882 0.000
0.618 0.118 0.000
0.118 0.382 0.000
0.882 0.618 0.000
```

=====

Here is crystalline BaAgAs at its relaxed geometry from Alexandria. Energies are from GGA-PBE.

Properties
- calculated total energy (eV/atom) = -3.803
- total magnetization (μB/f.u.) = 0.0
- V (Å³/atom) = 33.5
- space group = No. 11
- energy relative to the elements (eV per atom) = -0.661

```
BaAgAs
1.0
8.134 0.003 0.003
-1.445 7.064 -0.004
-1.447 3.031 3.496
Ag Ba As
2 2 2
Direct
0.432 0.292 0.202
0.432 0.792 0.702
0.128 0.042 0.799
0.735 0.542 0.604
0.713 0.042 0.594
0.151 0.542 0.809
```

=====

Here is crystalline Ba2AgAs2 at its relaxed geometry from Alexandria. Energies are from GGA-PBE.

Properties
- calculated total energy (eV/atom) = -3.722
- total magnetization (μB/f.u.) = 0.0
- polymorph energy (0 for the lowest one) (meV/atom) = 319
- V (Å³/atom) = 34.7
- space group = No. 139
- energy relative to the elements (eV per atom) = -0.523

```
Ba2AgAs2
1.0
-1.808 0.206 -6.228
2.066 -6.099 -0.802
-3.608 -4.349 -2.476
Ba Ag As
2 1 2
Direct
0.250 0.750 0.500
0.750 0.250 0.500
0.000 0.000 0.000
0.675 0.675 0.650
0.325 0.325 0.350
```

=====

Here is crystalline BaAg3As at its relaxed geometry from Alexandria. Energies are from GGA-PBE.

Properties
- calculated total energy (eV/atom) = -3.075
- total magnetization (μB/f.u.) = 0.0
- polymorph energy (0 for the lowest one) (meV/atom) = 0
- V (Å³/atom) = 28.0
- space group = No. 221
- energy relative to the elements (eV per atom) = -0.050

```
BaAg3As
1.0
5.191 0.000 0.000
0.000 5.191 0.000
0.000 0.000 5.191
Ag Ba As
3 1 1
Direct
0.000 0.500 0.000
0.000 0.000 0.500
0.500 0.000 0.000
0.500 0.500 0.500
0.000 0.000 0.000
```

=====

Here is crystalline BaAgAs2 at its relaxed geometry from Alexandria. Energies are from GGA-PBE.

Properties
- calculated total energy (eV/atom) = -3.649
- total magnetization (μB/f.u.) = 0.0
- V (Å³/atom) = 25.8
- space group = No. 99
- energy relative to the elements (eV per atom) = -0.130

```
BaAgAs2
1.0
3.766 0.000 0.000
0.000 3.766 0.000
0.000 0.000 7.264
As Ba Ag
2 1 1
Direct
0.000 0.000 0.032
0.500 0.500 0.171
0.000 0.000 0.495
0.500 0.500 0.801
```

=====

Here is crystalline BaAg3As at its relaxed geometry from Alexandria. Energies are from GGA-PBE.

Properties
- calculated total energy (eV/atom) = -1.742
- total magnetization (μB/f.u.) = 1.9
- polymorph energy (0 for the lowest one) (meV/atom) = 1333
- V (Å³/atom) = 45.5
- space group = No. 221
- energy relative to the elements (eV per atom) = 1.284

```
BaAg3As
1.0
6.106 0.000 0.000
0.000 6.106 0.000
0.000 0.000 6.106
As Ba Ag
1 1 3
Direct
0.500 0.500 0.500
0.000 0.000 0.000
0.000 0.000 0.500
0.000 0.500 0.000
0.500 0.000 0.000
```

=====

Here is crystalline BaAgAs2 at its relaxed geometry from Alexandria. Energies are from GGA-PBE.

Properties
- calculated total energy (eV/atom) = -3.617
- total magnetization (μB/f.u.) = 0.0
- V (Å³/atom) = 25.9
- space group = No. 65
- energy relative to the elements (eV per atom) = -0.099

```
BaAgAs2
1.0
-0.142 -2.603 4.930
5.406 -0.475 -1.282
0.631 2.942 1.571
Ag As Ba
1 2 1
Direct
0.000 0.500 0.500
0.500 0.500 0.000
0.000 0.000 0.000
0.500 0.000 0.500
```

=====

Here is crystalline Ba2Ag2As at its relaxed geometry from Alexandria. Energies are from GGA-PBE.

Properties
- calculated total energy (eV/atom) = -3.153
- total magnetization (μB/f.u.) = 0.0
- polymorph energy (0 for the lowest one) (meV/atom) = 183
- V (Å³/atom) = 33.2
- space group = No. 139
- energy relative to the elements (eV per atom) = -0.313

```
Ba2Ag2As
1.0
-6.235 0.649 -1.391
0.101 -5.633 -3.082
-4.028 -4.381 1.186
Ag Ba As
2 2 1
Direct
0.336 0.336 0.328
0.664 0.664 0.672
0.750 0.250 0.500
0.250 0.750 0.500
0.000 0.000 0.000
```

=====

Here is crystalline BaAgAs at its relaxed geometry from Alexandria. Energies are from GGA-PBE.

Properties
- calculated total energy (eV/atom) = -3.929
- total magnetization (μB/f.u.) = 0.0
- V (Å³/atom) = 28.6
- space group = No. 194
- energy relative to the elements (eV per atom) = -0.788

```
BaAgAs
1.0
4.670 0.000 0.000
-2.335 4.045 0.000
0.000 0.000 9.096
As Ag Ba
2 2 2
Direct
0.667 0.333 0.217
0.333 0.667 0.717
0.333 0.667 0.217
0.667 0.333 0.717
0.000 0.000 0.467
0.000 0.000 0.967
```

=====

Here is crystalline BaAgAs2 at its relaxed geometry from Alexandria. Energies are from GGA-PBE.

Properties
- calculated total energy (eV/atom) = -3.617
- total magnetization (μB/f.u.) = 0.0
- V (Å³/atom) = 25.7
- space group = No. 119
- energy relative to the elements (eV per atom) = -0.099

```
BaAgAs2
1.0
-5.639 0.600 0.978
-2.224 -5.009 1.755
4.563 3.024 1.774
As Ba Ag
2 1 1
Direct
0.000 0.000 0.000
0.250 0.750 0.500
0.500 0.500 0.000
0.750 0.250 0.500
```

=====

Here is crystalline BaAgAs at its relaxed geometry from Alexandria. Energies are from GGA-PBE.

Properties
- calculated total energy (eV/atom) = -3.907
- total magnetization (μB/f.u.) = 0.0
- V (Å³/atom) = 28.8
- space group = No. 187
- energy relative to the elements (eV per atom) = -0.766

```
BaAgAs
1.0
-2.773 3.686 0.405
-1.683 -3.995 -1.626
-1.096 -1.300 4.326
As Ba Ag
1 1 1
Direct
0.667 0.333 0.167
0.333 0.667 0.667
0.000 0.000 0.167
```

=====

Here is crystalline BaAgAs at its relaxed geometry from Alexandria. Energies are from GGA-PBE.

Properties
- calculated total energy (eV/atom) = -3.422
- total magnetization (μB/f.u.) = 0.0
- V (Å³/atom) = 30.7
- space group = No. 42
- energy relative to the elements (eV per atom) = -0.280

```
BaAgAs
1.0
-2.816 5.677 -0.976
-3.204 4.155 2.919
2.566 3.315 0.252
As Ag Ba
1 1 1
Direct
0.368 0.368 0.632
0.958 0.958 0.042
0.674 0.674 0.326
```

=====

Here is crystalline Ba8Ag2As at its relaxed geometry from Alexandria. Energies are from GGA-PBE.

Properties
- calculated total energy (eV/atom) = -2.605
- total magnetization (μB/f.u.) = 0.0
- V (Å³/atom) = 48.5
- space group = No. 8
- energy relative to the elements (eV per atom) = -0.265

```
Ba8Ag2As
1.0
-1.551 6.796 3.165
-8.152 -3.681 -0.409
5.022 -3.823 6.351
Ba Ag As
8 2 1
Direct
0.361 0.926 0.664
0.587 0.082 0.344
0.988 0.190 0.810
0.587 0.344 0.082
0.361 0.664 0.926
0.171 0.347 0.347
0.988 0.810 0.190
0.790 0.653 0.653
0.471 0.319 0.684
0.471 0.684 0.319
0.226 0.014 0.014
```

=====

Here is crystalline Ba2AgAs2 at its relaxed geometry from Alexandria. Energies are from GGA-PBE.

Properties
- calculated total energy (eV/atom) = -4.041
- total magnetization (μB/f.u.) = 0.0
- polymorph energy (0 for the lowest one) (meV/atom) = 0
- V (Å³/atom) = 30.9
- space group = No. 12
- energy relative to the elements (eV per atom) = -0.842

```
Ba2AgAs2
1.0
4.624 0.000 0.000
2.312 6.085 0.290
2.312 1.454 11.067
As Ba Ag
4 4 2
Direct
0.659 0.822 0.860
0.341 0.178 0.140
0.955 0.672 0.417
0.045 0.328 0.583
0.086 0.735 0.092
0.914 0.265 0.908
0.696 0.254 0.353
0.304 0.746 0.647
0.577 0.165 0.680
0.423 0.835 0.320
```

=====

Here is crystalline BaAgAs at its relaxed geometry from Alexandria. Energies are from GGA-PBE.

Properties
- calculated total energy (eV/atom) = -3.829
- total magnetization (μB/f.u.) = 0.0
- V (Å³/atom) = 30.2
- space group = No. 63
- energy relative to the elements (eV per atom) = -0.688

```
BaAgAs
1.0
6.576 0.000 -0.002
0.000 6.576 0.004
0.001 -3.291 4.185
Ag As Ba
2 2 2
Direct
0.848 0.444 0.267
0.348 0.444 0.267
0.598 0.679 0.738
0.098 0.208 0.795
0.598 0.088 0.556
0.098 0.799 0.977
```

=====

Here is crystalline BaAgAs3 at its relaxed geometry from Alexandria. Energies are from GGA-PBE.

Properties
- calculated total energy (eV/atom) = -2.507
- total magnetization (μB/f.u.) = 0.0
- polymorph energy (0 for the lowest one) (meV/atom) = 1249
- V (Å³/atom) = 39.8
- space group = No. 221
- energy relative to the elements (eV per atom) = 1.237

```
BaAgAs3
1.0
-1.434 -5.287 2.024
0.765 -2.250 -5.335
5.609 -1.045 1.245
Ba As Ag
1 3 1
Direct
0.000 0.000 0.000
0.500 0.000 0.000
0.000 0.000 0.500
0.000 0.500 0.000
0.500 0.500 0.500
```